[1]
# TiTl6I12

A relaxed structure of TiTl6I12 (PBE-GGA, Alexandria).

a = 9.639 Å, b = 9.639 Å, c = 9.639 Å
α = 89.19°, β = 89.19°, γ = 89.19°
Positions (direct):
Tl 0.360 0.695 0.158
I 0.287 0.007 0.990
I 0.429 0.173 0.591
Tl 0.640 0.305 0.842
Tl 0.158 0.360 0.695
I 0.409 0.571 0.827
Tl 0.695 0.158 0.360
I 0.591 0.429 0.173
I 0.993 0.010 0.713
Tl 0.842 0.640 0.305
I 0.827 0.409 0.571
I 0.010 0.713 0.993
Tl 0.305 0.842 0.640
I 0.571 0.827 0.409
I 0.990 0.287 0.007
I 0.713 0.993 0.010
Ti 0.000 0.000 0.000
I 0.007 0.990 0.287
I 0.173 0.591 0.429

## Properties
* formation energy (no corrections): -0.5311 eV/atom



[2]
# TiTl2I6

A relaxed structure of TiTl2I6 (PBE-GGA, Alexandria).

a = 7.835 Å, b = 11.040 Å, c = 8.529 Å
α = 90.00°, β = 90.00°, γ = 90.86°
Positions (direct):
Tl 0.025 0.248 0.595
I 0.708 0.545 0.175
Ti 0.500 0.000 0.500
I 0.676 0.958 0.223
Tl 0.525 0.748 0.905
I 0.410 0.757 0.513
Tl 0.975 0.752 0.405
Tl 0.475 0.252 0.095
I 0.792 0.955 0.675
I 0.824 0.542 0.723
I 0.176 0.458 0.277
I 0.090 0.743 0.013
I 0.590 0.243 0.487
I 0.910 0.257 0.987
I 0.292 0.455 0.825
I 0.208 0.045 0.325
Ti 0.000 0.500 0.000
I 0.324 0.042 0.777

## Properties
* formation energy (no corrections): -0.6891 eV/atom
* polymorph energy (0 for the lowest one): 0.000 eV/atom



[3]
# TiTl3I7

A relaxed structure of TiTl3I7 (PBE-GGA, Alexandria).

a = 8.080 Å, b = 8.080 Å, c = 8.761 Å
α = 68.62°, β = 68.62°, γ = 80.67°
Positions (direct):
I 0.519 0.519 0.546
I 0.065 0.684 0.206
I 0.966 0.337 0.735
Tl 0.805 0.202 0.483
Tl 0.517 0.517 0.921
I 0.337 0.966 0.735
I 0.843 0.843 0.846
I 0.176 0.176 0.110
I 0.684 0.065 0.206
Ti 0.011 0.011 0.980
Tl 0.202 0.805 0.483

## Properties
* formation energy (no corrections): -0.6453 eV/atom



[4]
# Ti2Tl2I

A relaxed structure of Ti2Tl2I (PBE-GGA, Alexandria).

a = 7.427 Å, b = 7.427 Å, c = 4.258 Å
α = 90.00°, β = 90.00°, γ = 90.00°
Positions (direct):
Tl 0.836 0.336 0.500
Tl 0.336 0.164 0.500
Tl 0.164 0.664 0.500
Ti 0.630 0.130 0.000
Ti 0.370 0.870 0.000
I 0.500 0.500 0.000
Tl 0.664 0.836 0.500
I 0.000 0.000 0.000
Ti 0.870 0.630 0.000
Ti 0.130 0.370 0.000

## Properties
* formation energy (no corrections): 0.1673 eV/atom



Values for E_tot, Ry/atom, ordered as above
-0.1965, -0.2297, -0.2201, -0.3122